(1)
## KTl3Ga (PBE-GGA)

Data for crystalline KTl3Ga at its relaxed geometry.

abc: 7.630 9.395 9.395
angles: 75.15 78.50 78.50
Atoms (fractional coordinates):
K (0.250, 0.973, 0.027)
K (0.750, 0.027, 0.973)
K (0.250, 0.356, 0.644)
K (0.750, 0.644, 0.356)
Tl (0.597, 0.654, 0.999)
Tl (0.903, 0.001, 0.346)
Tl (0.403, 0.346, 0.001)
Tl (0.097, 0.999, 0.654)
Tl (0.925, 0.345, 0.016)
Tl (0.575, 0.984, 0.655)
Tl (0.075, 0.655, 0.984)
Tl (0.425, 0.016, 0.345)
Tl (0.412, 0.674, 0.697)
Tl (0.088, 0.303, 0.326)
Tl (0.588, 0.326, 0.303)
Tl (0.912, 0.697, 0.674)
Ga (0.730, 0.426, 0.756)
Ga (0.770, 0.244, 0.574)
Ga (0.270, 0.574, 0.244)
Ga (0.230, 0.756, 0.426)

Output
Space-group type: No. 15
Fermi-level density of states in states/eV/f.u.: 2.67
Excess energy over the best structure of this formula in the dataset in eV/atom: 0.0000
Energy in eV/atom: -2.2855
Formation energy in eV per atom: -0.041
M_tot in μB/f.u.: 0.0

---

(2)
## Pm7SiS5 (PBE-GGA)

Data for crystalline Pm7SiS5 at its relaxed geometry.

abc: 4.056 6.913 23.870
angles: 90.06 90.00 107.06
Atoms (fractional coordinates):
Pm (0.465, 0.931, 0.250)
Pm (0.535, 0.071, 0.750)
Pm (0.638, 0.276, 0.037)
Pm (0.363, 0.726, 0.963)
Pm (0.363, 0.726, 0.537)
Pm (0.637, 0.274, 0.463)
Pm (0.188, 0.376, 0.178)
Pm (0.813, 0.626, 0.822)
Pm (0.813, 0.627, 0.678)
Pm (0.187, 0.374, 0.322)
Pm (0.909, 0.818, 0.112)
Pm (0.092, 0.184, 0.888)
Pm (0.092, 0.185, 0.613)
Pm (0.908, 0.815, 0.387)
Si (0.806, 0.611, 0.251)
Si (0.195, 0.390, 0.750)
S (0.000, 0.001, 0.000)
S (0.726, 0.452, 0.928)
S (0.275, 0.549, 0.072)
S (0.548, 0.096, 0.357)
S (0.452, 0.905, 0.643)
S (0.000, 0.000, 0.500)
S (0.274, 0.548, 0.429)
S (0.726, 0.453, 0.571)
S (0.452, 0.904, 0.857)
S (0.549, 0.098, 0.143)

Output
Space-group type: No. 8
Energy relative to the elements, uncorrected in eV per atom: -1.6889
Fermi-level density of states in states/eV/f.u.: 7.21
Energy in eV/atom: -6.2515
M_tot in μB/f.u.: 0.0

---

(3)
## La3Sm3Tl2Ga (PBE-GGA)

Data for crystalline La3Sm3Tl2Ga at its relaxed geometry.

abc: 3.878 9.133 9.133
angles: 120.00 90.00 90.00
Atoms (fractional coordinates):
La (0.500, 0.733, 0.000)
La (0.500, 0.000, 0.733)
La (0.500, 0.267, 0.267)
Sm (0.000, 0.608, 0.608)
Sm (0.000, 0.000, 0.392)
Sm (0.000, 0.392, 0.000)
Tl (0.500, 0.667, 0.333)
Tl (0.500, 0.333, 0.667)
Ga (0.000, 0.000, 0.000)

Output
Space-group type: No. 189
Fermi-level density of states in states/eV/f.u.: 10.83
Energy in eV/atom: -4.3767
Formation energy in eV per atom: -0.299
M_tot in μB/f.u.: 0.0

---

(4)
## Tb5Nd3Se8 (PBE-GGA)

Data for crystalline Tb5Nd3Se8 at its relaxed geometry.

abc: 8.271 8.271 8.322
angles: 60.20 60.20 60.00
Atoms (fractional coordinates):
Tb (0.500, 0.000, 0.000)
Tb (0.500, 0.500, 0.000)
Tb (0.000, 0.000, 0.000)
Tb (0.000, 0.500, 0.000)
Tb (0.500, 0.500, 0.500)
Nd (0.500, 0.000, 0.500)
Nd (0.000, 0.000, 0.500)
Nd (0.000, 0.500, 0.500)
Se (0.250, 0.250, 0.759)
Se (0.250, 0.742, 0.759)
Se (0.742, 0.250, 0.759)
Se (0.746, 0.746, 0.763)
Se (0.750, 0.750, 0.241)
Se (0.750, 0.258, 0.241)
Se (0.258, 0.750, 0.241)
Se (0.254, 0.254, 0.237)

Output
Space-group type: No. 166
Energy relative to the elements, uncorrected in eV per atom: -1.7925
Fermi-level density of states in states/eV/f.u.: 10.26
Energy in eV/atom: -5.8757
M_tot in μB/f.u.: 0.0

---

(5)
## Na3MoPd (PBE-GGA)

Data for crystalline Na3MoPd at its relaxed geometry.

abc: 5.392 5.392 5.392
angles: 90.00 90.00 90.00
Atoms (fractional coordinates):
Na (0.000, 0.500, 0.000)
Na (0.000, 0.000, 0.500)
Na (0.500, 0.000, 0.000)
Mo (0.500, 0.500, 0.500)
Pd (0.000, 0.000, 0.000)

Output
Space-group type: No. 221
Fermi-level density of states in states/eV/f.u.: 1.05
Excess energy over the best structure of this formula in the dataset in eV/atom: 0.0000
Energy in eV/atom: -2.9572
Formation energy in eV per atom: 1.039
M_tot in μB/f.u.: 5.1

---

(6)
## CaSmBeZn (PBE-GGA)

Data for crystalline CaSmBeZn at its relaxed geometry.

abc: 5.052 5.052 5.052
angles: 60.00 60.00 60.00
Atoms (fractional coordinates):
Be (0.250, 0.250, 0.250)
Zn (0.750, 0.750, 0.750)
Ca (0.000, 0.000, 0.000)
Sm (0.500, 0.500, 0.500)

Output
Space-group type: No. 216
Fermi-level density of states in states/eV/f.u.: 2.42
Energy in eV/atom: -2.9371
Formation energy in eV per atom: -0.007
M_tot in μB/f.u.: 0.0

---

Which of these has the highest M_tot?
Na3MoPd

---

The highest Fermi-level density of states belongs to which entry?
La3Sm3Tl2Ga

---

Among the records above, which one has the highest Fermi-level density of states?
La3Sm3Tl2Ga